[1]
Below is an optimized crystal structure of CaNiPb2, with properties calculated at the PBE-GGA level.

```
data_CaNiPb2
_cell_length_a 3.506
_cell_length_b 3.506
_cell_length_c 8.198
_cell_angle_alpha 90.00
_cell_angle_beta 90.00
_cell_angle_gamma 90.00
_symmetry_space_group_name_H-M 'P 4 m m'
_symmetry_Int_Tables_number 99
_symmetry_space_group_name_Hall 'P 4 -2'
loop_
_atom_site_label
_atom_site_type_symbol
_atom_site_fract_x
_atom_site_fract_y
_atom_site_fract_z
_atom_site_occupancy
Ca1 Ca 0.000 0.000 0.000 1
Ni1 Ni 0.500 0.500 0.222 1
Pb1 Pb 0.000 0.000 0.391 1
Pb2 Pb 0.500 0.500 0.697 1
```

Summary:
D(E_F): 2.75 states/eV per cell
Formation energy from the elements: -1.9 kJ per mole of atoms


[2]
Below is an optimized crystal structure of CuAgRuCl6, with properties calculated at the PBE-GGA level.

```
data_CuAgRuCl6
_cell_length_a 5.911
_cell_length_b 5.911
_cell_length_c 11.361
_cell_angle_alpha 90.00
_cell_angle_beta 90.00
_cell_angle_gamma 90.00
_symmetry_space_group_name_H-M 'P 42 n m'
_symmetry_Int_Tables_number 102
_symmetry_space_group_name_Hall 'P 4n -2n'
loop_
_atom_site_label
_atom_site_type_symbol
_atom_site_fract_x
_atom_site_fract_y
_atom_site_fract_z
_atom_site_occupancy
Cu1 Cu 0.000 0.000 0.000 1
Ag1 Ag 0.000 0.000 0.326 1
Ru1 Ru 0.000 0.000 0.664 1
Cl1 Cl 0.183 0.183 0.824 1
Cl2 Cl 0.200 0.200 0.512 1
Cl3 Cl 0.218 0.218 0.156 1
```

Summary:
Total DFT energy (no corrections): -3.4743 eV/atom
D(E_F): 12.44 states/eV per cell


[3]
Below is an optimized crystal structure of ReAgBi2Cl, with properties calculated at the PBE-GGA level.

```
data_ReAgBi2Cl
_cell_length_a 5.601
_cell_length_b 5.601
_cell_length_c 4.265
_cell_angle_alpha 90.00
_cell_angle_beta 90.00
_cell_angle_gamma 90.00
_symmetry_space_group_name_H-M 'P 4/m m m'
_symmetry_Int_Tables_number 123
_symmetry_space_group_name_Hall '-P 4 2'
loop_
_atom_site_label
_atom_site_type_symbol
_atom_site_fract_x
_atom_site_fract_y
_atom_site_fract_z
_atom_site_occupancy
Re1 Re 0.000 0.000 0.000 1
Ag1 Ag 0.500 0.500 0.000 1
Bi1 Bi 0.000 0.500 0.500 1
Cl1 Cl 0.000 0.000 0.500 1
```

Summary:
Total DFT energy (no corrections): -3.6646 eV/atom
D(E_F): 4.69 states/eV per cell


[4]
Below is an optimized crystal structure of LiZr2AlAs, with properties calculated at the PBE-GGA level.

```
data_LiZr2AlAs
_cell_length_a 5.063
_cell_length_b 5.063
_cell_length_c 4.348
_cell_angle_alpha 90.00
_cell_angle_beta 90.00
_cell_angle_gamma 90.00
_symmetry_space_group_name_H-M 'P 4/m m m'
_symmetry_Int_Tables_number 123
_symmetry_space_group_name_Hall '-P 4 2'
loop_
_atom_site_label
_atom_site_type_symbol
_atom_site_fract_x
_atom_site_fract_y
_atom_site_fract_z
_atom_site_occupancy
Li1 Li 0.000 0.000 0.000 1
Zr1 Zr 0.000 0.500 0.500 1
Al1 Al 0.000 0.000 0.500 1
As1 As 0.500 0.500 0.000 1
```

Summary:
D(E_F): 4.24 states/eV per cell
Formation energy from the elements: 37.4 kJ per mole of atoms


[5]
Below is an optimized crystal structure of TiBe6, with properties calculated at the PBE-GGA level.

```
data_TiBe6
_cell_length_a 6.997
_cell_length_b 4.185
_cell_length_c 8.786
_cell_angle_alpha 90.00
_cell_angle_beta 90.00
_cell_angle_gamma 90.00
_symmetry_space_group_name_H-M 'P n m a'
_symmetry_Int_Tables_number 62
_symmetry_space_group_name_Hall '-P 2ac 2n'
loop_
_atom_site_label
_atom_site_type_symbol
_atom_site_fract_x
_atom_site_fract_y
_atom_site_fract_z
_atom_site_occupancy
Ti1 Ti 0.236 0.250 0.061 1
Be1 Be 0.047 0.750 0.099 1
Be2 Be 0.061 0.006 0.309 1
Be3 Be 0.080 0.250 0.518 1
Be4 Be 0.147 0.750 0.853 1
Be5 Be 0.199 0.250 0.744 1
```

Summary:
D(E_F): 3.40 states/eV per cell
Formation energy from the elements: -15.1 kJ per mole of atoms
Polymorph energy (0 for the lowest one): 0.000 eV per atom


[6]
Below is an optimized crystal structure of AlCu2Tc, with properties calculated at the PBE-GGA level.

```
data_AlCu2Tc
_cell_length_a 2.728
_cell_length_b 2.728
_cell_length_c 7.105
_cell_angle_alpha 90.00
_cell_angle_beta 90.00
_cell_angle_gamma 90.00
_symmetry_space_group_name_H-M 'P 4 m m'
_symmetry_Int_Tables_number 99
_symmetry_space_group_name_Hall 'P 4 -2'
loop_
_atom_site_label
_atom_site_type_symbol
_atom_site_fract_x
_atom_site_fract_y
_atom_site_fract_z
_atom_site_occupancy
Al1 Al 0.000 0.000 0.000 1
Cu1 Cu 0.000 0.000 0.478 1
Cu2 Cu 0.500 0.500 0.243 1
Tc1 Tc 0.500 0.500 0.736 1
```

Summary:
D(E_F): 2.94 states/eV per cell
Formation energy from the elements: -1.6 kJ per mole of atoms


[7]
Below is an optimized crystal structure of Y3Sn5S12, with properties calculated at the PBE-GGA level.

```
data_Y3Sn5S12
_cell_length_a 15.947
_cell_length_b 15.947
_cell_length_c 15.947
_cell_angle_alpha 90.00
_cell_angle_beta 90.00
_cell_angle_gamma 90.00
_symmetry_space_group_name_H-M 'I a -3 d'
_symmetry_Int_Tables_number 230
_symmetry_space_group_name_Hall '-I 4bd 2c 3'
loop_
_atom_site_label
_atom_site_type_symbol
_atom_site_fract_x
_atom_site_fract_y
_atom_site_fract_z
_atom_site_occupancy
Y1 Y 0.000 0.250 0.125 1
Sn1 Sn 0.000 0.000 0.000 1
Sn2 Sn 0.000 0.250 0.375 1
S1 S 0.019 0.068 0.657 1
```

Summary:
Total DFT energy (no corrections): -5.3402 eV/atom
D(E_F): 38.08 states/eV per cell


[8]
Below is an optimized crystal structure of Sr3AcAl8, with properties calculated at the PBE-GGA level.

```
data_Sr3AcAl8
_cell_length_a 5.8601
_cell_length_b 5.8601
_cell_length_c 28.8864
_cell_angle_alpha 90.00
_cell_angle_beta 90.00
_cell_angle_gamma 120.00
_symmetry_space_group_name_H-M 'R 3 m'
_symmetry_Int_Tables_number 160
_symmetry_space_group_name_Hall 'R 3 -2"'
loop_
_atom_site_label
_atom_site_type_symbol
_atom_site_fract_x
_atom_site_fract_y
_atom_site_fract_z
_atom_site_occupancy
Sr1 Sr 0.0000 0.0000 0.0000 1
Sr2 Sr 0.0000 0.0000 0.1243 1
Sr3 Sr 0.0000 0.0000 0.4985 1
Ac1 Ac 0.0000 0.0000 0.6244 1
Al1 Al 0.0000 0.0000 0.3119 1
Al2 Al 0.0000 0.0000 0.8116 1
Al3 Al 0.0007 0.5003 0.5615 1
Al4 Al 0.1672 0.3344 0.3953 1
```

Summary:
D(E_F): 16.22 states/eV per cell
Formation energy from the elements: -27.6 kJ per mole of atoms


[9]
Below is an optimized crystal structure of Rb2YI6Br, with properties calculated at the PBE-GGA level.

```
data_Rb2YI6Br
_cell_length_a 9.503
_cell_length_b 9.503
_cell_length_c 11.656
_cell_angle_alpha 90.00
_cell_angle_beta 90.00
_cell_angle_gamma 90.00
_symmetry_space_group_name_H-M 'I 4/m m m'
_symmetry_Int_Tables_number 139
_symmetry_space_group_name_Hall '-I 4 2'
loop_
_atom_site_label
_atom_site_type_symbol
_atom_site_fract_x
_atom_site_fract_y
_atom_site_fract_z
_atom_site_occupancy
Rb1 Rb 0.000 0.500 0.250 1
Y1 Y 0.000 0.000 0.000 1
I1 I 0.000 0.000 0.268 1
I2 I 0.222 0.222 0.000 1
Br1 Br 0.000 0.000 0.500 1
```

Summary:
Total DFT energy (no corrections): -2.9725 eV/atom
D(E_F): 0.00 states/eV per cell


[10]
Below is an optimized crystal structure of MnSnC2, with properties calculated at the PBE-GGA level.

```
data_MnSnC2
_cell_length_a 4.783
_cell_length_b 4.783
_cell_length_c 9.369
_cell_angle_alpha 90.00
_cell_angle_beta 90.00
_cell_angle_gamma 90.00
_symmetry_space_group_name_H-M 'I -4 2 d'
_symmetry_Int_Tables_number 122
_symmetry_space_group_name_Hall 'I -4 2bw'
loop_
_atom_site_label
_atom_site_type_symbol
_atom_site_fract_x
_atom_site_fract_y
_atom_site_fract_z
_atom_site_occupancy
Mn1 Mn 0.000 0.000 0.000 1
Sn1 Sn 0.000 0.000 0.500 1
C1 C 0.191 0.250 0.125 1
```

Summary:
D(E_F): 8.60 states/eV per cell
Formation energy from the elements: 82.8 kJ per mole of atoms


[11]
Below is an optimized crystal structure of NdEr3Ni, with properties calculated at the PBE-GGA level.

```
data_NdEr3Ni
_cell_length_a 5.287
_cell_length_b 5.287
_cell_length_c 5.287
_cell_angle_alpha 90.00
_cell_angle_beta 90.00
_cell_angle_gamma 90.00
_symmetry_space_group_name_H-M 'P m -3 m'
_symmetry_Int_Tables_number 221
_symmetry_space_group_name_Hall '-P 4 2 3'
loop_
_atom_site_label
_atom_site_type_symbol
_atom_site_fract_x
_atom_site_fract_y
_atom_site_fract_z
_atom_site_occupancy
Nd1 Nd 0.000 0.000 0.000 1
Er1 Er 0.000 0.500 0.500 1
Ni1 Ni 0.500 0.500 0.500 1
```

Summary:
D(E_F): 8.57 states/eV per cell
Formation energy from the elements: -9.2 kJ per mole of atoms
Polymorph energy (0 for the lowest one): 0.021 eV per atom


[12]
Below is an optimized crystal structure of Th4C2Cl, with properties calculated at the PBE-GGA level.

```
data_Th4C2Cl
_cell_length_a 3.6489
_cell_length_b 3.6489
_cell_length_c 42.0537
_cell_angle_alpha 90.00
_cell_angle_beta 90.00
_cell_angle_gamma 120.00
_symmetry_space_group_name_H-M 'R -3 m'
_symmetry_Int_Tables_number 166
_symmetry_space_group_name_Hall '-R 3 2"'
loop_
_atom_site_label
_atom_site_type_symbol
_atom_site_fract_x
_atom_site_fract_y
_atom_site_fract_z
_atom_site_occupancy
Th1 Th 0.0000 0.0000 0.1246 1
Th2 Th 0.0000 0.0000 0.2783 1
C1 C 0.0000 0.0000 0.4238 1
Cl1 Cl 0.0000 0.0000 0.0000 1
```

Summary:
Total DFT energy (no corrections): -7.7440 eV/atom
D(E_F): 18.26 states/eV per cell


[13]
Below is an optimized crystal structure of ScH6Pd2Rh, with properties calculated at the PBE-GGA level.

```
data_ScH6Pd2Rh
_cell_length_a 4.814
_cell_length_b 4.845
_cell_length_c 5.086
_cell_angle_alpha 61.64
_cell_angle_beta 84.55
_cell_angle_gamma 60.50
_symmetry_space_group_name_H-M 'P 1'
_symmetry_Int_Tables_number 1
_symmetry_space_group_name_Hall 'P 1'
loop_
_atom_site_label
_atom_site_type_symbol
_atom_site_fract_x
_atom_site_fract_y
_atom_site_fract_z
_atom_site_occupancy
Sc1 Sc 0.000 0.000 0.000 1
H1 H 0.006 0.445 0.017 1
H2 H 0.143 0.319 0.512 1
H3 H 0.421 0.747 0.500 1
H4 H 0.470 0.515 0.047 1
H5 H 0.555 0.975 0.044 1
H6 H 0.687 0.041 0.544 1
Pd1 Pd 0.084 0.660 0.621 1
Pd2 Pd 0.734 0.457 0.359 1
Rh1 Rh 0.383 0.182 0.251 1
```

Summary:
Total DFT energy (no corrections): -4.7148 eV/atom
D(E_F): 0.92 states/eV per cell


[14]
Below is an optimized crystal structure of Tb2YCl5, with properties calculated at the PBE-GGA level.

```
data_Tb2YCl5
_cell_length_a 6.428
_cell_length_b 6.433
_cell_length_c 7.254
_cell_angle_alpha 70.07
_cell_angle_beta 70.93
_cell_angle_gamma 66.66
_symmetry_space_group_name_H-M 'P 1'
_symmetry_Int_Tables_number 1
_symmetry_space_group_name_Hall 'P 1'
loop_
_atom_site_label
_atom_site_type_symbol
_atom_site_fract_x
_atom_site_fract_y
_atom_site_fract_z
_atom_site_occupancy
Tb1 Tb 0.000 0.000 0.000 1
Tb2 Tb 0.495 0.504 0.000 1
Y1 Y 0.451 0.951 0.253 1
Cl1 Cl 0.181 0.677 0.322 1
Cl2 Cl 0.236 0.280 0.972 1
Cl3 Cl 0.334 0.847 0.672 1
Cl4 Cl 0.688 0.184 0.321 1
Cl5 Cl 0.774 0.742 0.973 1
```

Summary:
Total DFT energy (no corrections): -4.7248 eV/atom
D(E_F): 4.23 states/eV per cell


[15]
Below is an optimized crystal structure of Cs2ScAg2Se4, with properties calculated at the PBE-GGA level.

```
data_Cs2ScAg2Se4
_cell_length_a 15.641
_cell_length_b 4.128
_cell_length_c 8.533
_cell_angle_alpha 90.00
_cell_angle_beta 107.68
_cell_angle_gamma 90.00
_symmetry_space_group_name_H-M 'C 1 2/m 1'
_symmetry_Int_Tables_number 12
_symmetry_space_group_name_Hall '-C 2y'
loop_
_atom_site_label
_atom_site_type_symbol
_atom_site_fract_x
_atom_site_fract_y
_atom_site_fract_z
_atom_site_occupancy
Cs1 Cs 0.132 0.000 0.066 1
Sc1 Sc 0.000 0.000 0.500 1
Ag1 Ag 0.180 0.500 0.477 1
Se1 Se 0.011 0.500 0.287 1
Se2 Se 0.185 0.000 0.677 1
```

Summary:
Total DFT energy (no corrections): -4.0147 eV/atom
D(E_F): 7.23 states/eV per cell


[16]
Below is an optimized crystal structure of BaAlP2, with properties calculated at the PBE-GGA level.

```
data_BaAlP2
_cell_length_a 7.351
_cell_length_b 7.351
_cell_length_c 7.726
_cell_angle_alpha 90.00
_cell_angle_beta 90.00
_cell_angle_gamma 90.00
_symmetry_space_group_name_H-M 'I -4 2 d'
_symmetry_Int_Tables_number 122
_symmetry_space_group_name_Hall 'I -4 2bw'
loop_
_atom_site_label
_atom_site_type_symbol
_atom_site_fract_x
_atom_site_fract_y
_atom_site_fract_z
_atom_site_occupancy
Ba1 Ba 0.000 0.000 0.000 1
Al1 Al 0.000 0.000 0.500 1
P1 P 0.158 0.250 0.625 1
```

Summary:
D(E_F): 5.07 states/eV per cell
Formation energy from the elements: -58.9 kJ per mole of atoms


[17]
Below is an optimized crystal structure of ErZr2Ag2S6, with properties calculated at the PBE-GGA level.

```
data_ErZr2Ag2S6
_cell_length_a 6.559
_cell_length_b 11.355
_cell_length_c 6.835
_cell_angle_alpha 90.00
_cell_angle_beta 94.24
_cell_angle_gamma 90.00
_symmetry_space_group_name_H-M 'C 1 2/m 1'
_symmetry_Int_Tables_number 12
_symmetry_space_group_name_Hall '-C 2y'
loop_
_atom_site_label
_atom_site_type_symbol
_atom_site_fract_x
_atom_site_fract_y
_atom_site_fract_z
_atom_site_occupancy
Er1 Er 0.000 0.000 0.000 1
Zr1 Zr 0.000 0.340 0.000 1
Ag1 Ag 0.000 0.126 0.500 1
S1 S 0.172 0.500 0.221 1
S2 S 0.192 0.176 0.215 1
```

Summary:
Total DFT energy (no corrections): -5.9605 eV/atom
D(E_F): 7.28 states/eV per cell


[18]
Below is an optimized crystal structure of LaY2Mg, with properties calculated at the PBE-GGA level.

```
data_LaY2Mg
_cell_length_a 4.982
_cell_length_b 4.982
_cell_length_c 5.075
_cell_angle_alpha 90.00
_cell_angle_beta 90.00
_cell_angle_gamma 90.00
_symmetry_space_group_name_H-M 'P 4/m m m'
_symmetry_Int_Tables_number 123
_symmetry_space_group_name_Hall '-P 4 2'
loop_
_atom_site_label
_atom_site_type_symbol
_atom_site_fract_x
_atom_site_fract_y
_atom_site_fract_z
_atom_site_occupancy
La1 La 0.000 0.000 0.000 1
Y1 Y 0.000 0.500 0.500 1
Mg1 Mg 0.500 0.500 0.000 1
```

Summary:
D(E_F): 7.09 states/eV per cell
Formation energy from the elements: 2.1 kJ per mole of atoms


[19]
Below is an optimized crystal structure of Pm8PrSm5, with properties calculated at the PBE-GGA level.

```
data_Pm8PrSm5
_cell_length_a 9.704
_cell_length_b 9.704
_cell_length_c 10.420
_cell_angle_alpha 90.00
_cell_angle_beta 90.00
_cell_angle_gamma 90.00
_symmetry_space_group_name_H-M 'I -4'
_symmetry_Int_Tables_number 82
_symmetry_space_group_name_Hall 'I -4'
loop_
_atom_site_label
_atom_site_type_symbol
_atom_site_fract_x
_atom_site_fract_y
_atom_site_fract_z
_atom_site_occupancy
Pm1 Pm 0.071 0.324 0.103 1
Pm2 Pm 0.083 0.180 0.754 1
Pr1 Pr 0.000 0.500 0.750 1
Sm1 Sm 0.000 0.000 0.000 1
Sm2 Sm 0.108 0.208 0.427 1
```

Summary:
D(E_F): 41.11 states/eV per cell
Formation energy from the elements: 21.9 kJ per mole of atoms


[20]
Below is an optimized crystal structure of KSc2PdS, with properties calculated at the PBE-GGA level.

```
data_KSc2PdS
_cell_length_a 4.834
_cell_length_b 4.834
_cell_length_c 5.612
_cell_angle_alpha 90.00
_cell_angle_beta 90.00
_cell_angle_gamma 90.00
_symmetry_space_group_name_H-M 'P 4/m m m'
_symmetry_Int_Tables_number 123
_symmetry_space_group_name_Hall '-P 4 2'
loop_
_atom_site_label
_atom_site_type_symbol
_atom_site_fract_x
_atom_site_fract_y
_atom_site_fract_z
_atom_site_occupancy
K1 K 0.000 0.000 0.000 1
Sc1 Sc 0.000 0.500 0.500 1
Pd1 Pd 0.500 0.500 0.000 1
S1 S 0.000 0.000 0.500 1
```

Summary:
Total DFT energy (no corrections): -4.9193 eV/atom
D(E_F): 5.92 states/eV per cell